## TlRe2AgPb (PBE)

Data for a relaxed structure of TlRe2AgPb.

Geometry as POSCAR:
```
TlRe2AgPb
1.0
-2.268 -1.968 -4.140
4.314 -2.885 -0.992
-1.891 -3.806 2.845
Pb Re Tl Ag
1 2 1 1
direct
0.000 0.500 0.000 Pb
0.000 0.000 0.500 Re
0.500 0.000 0.000 Re
0.500 0.500 0.500 Tl
0.000 0.000 0.000 Ag
```

The calculation puts the spin magnetization at 6.2 μB per cell. Its formation energy from the elements is 2.241 eV/atom.